Compound: Hg4PbCl
Source: Alexandria via LeMat-Bulk
Functional: PBE-GGA
Structure: relaxed

CIF file:
```
data_Hg4PbCl
_chemical_formula_sum 'Hg16 Pb4 Cl4'
_cell_length_a 8.6997
_cell_length_b 8.6997
_cell_length_c 8.6997
_cell_angle_alpha 90.00
_cell_angle_beta 90.00
_cell_angle_gamma 90.00
_space_group_name_H-M_alt 'F -4 3 m'
_space_group_IT_number 216
_space_group_name_Hall 'F -4 2 3'
loop_
_atom_site_label
_atom_site_type_symbol
_atom_site_fract_x
_atom_site_fract_y
_atom_site_fract_z
Hg1 Hg 0.1253 0.1253 0.1253
Pb1 Pb 0.2500 0.2500 0.7500
Cl1 Cl 0.0000 0.0000 0.5000
```

***

Compound: HgPbCl
Source: Alexandria via LeMat-Bulk
Functional: PBE-GGA
Structure: relaxed

CIF file:
```
data_HgPbCl
_chemical_formula_sum 'Hg4 Pb4 Cl4'
_cell_length_a 7.3410
_cell_length_b 7.3410
_cell_length_c 7.3410
_cell_angle_alpha 90.00
_cell_angle_beta 90.00
_cell_angle_gamma 90.00
_space_group_name_H-M_alt 'F -4 3 m'
_space_group_IT_number 216
_space_group_name_Hall 'F -4 2 3'
loop_
_atom_site_label
_atom_site_type_symbol
_atom_site_fract_x
_atom_site_fract_y
_atom_site_fract_z
Hg1 Hg 0.0000 0.0000 0.0000
Pb1 Pb 0.2500 0.2500 0.7500
Cl1 Cl 0.0000 0.0000 0.5000
```

***

Compound: HgPbCl
Source: Alexandria via LeMat-Bulk
Functional: PBE-GGA
Structure: relaxed

CIF file:
```
data_HgPbCl
_chemical_formula_sum 'Hg2 Pb2 Cl2'
_cell_length_a 3.8150
_cell_length_b 3.8150
_cell_length_c 11.5496
_cell_angle_alpha 90.00
_cell_angle_beta 90.00
_cell_angle_gamma 90.00
_space_group_name_H-M_alt 'I 4 m m'
_space_group_IT_number 107
_space_group_name_Hall 'I 4 -2'
loop_
_atom_site_label
_atom_site_type_symbol
_atom_site_fract_x
_atom_site_fract_y
_atom_site_fract_z
Hg1 Hg 0.0000 0.0000 0.0000
Pb1 Pb 0.0000 0.0000 0.3396
Cl1 Cl 0.0000 0.0000 0.6956
```

***

Compound: HgPb2Cl6
Source: Alexandria via LeMat-Bulk
Functional: PBE-GGA
Structure: relaxed

CIF file:
```
data_HgPb2Cl6
_chemical_formula_sum 'Hg2 Pb4 Cl12'
_cell_length_a 6.6835
_cell_length_b 7.1306
_cell_length_c 12.8222
_cell_angle_alpha 90.00
_cell_angle_beta 90.00
_cell_angle_gamma 90.00
_space_group_name_H-M_alt 'P n n m'
_space_group_IT_number 58
loop_
_space_group_symop_operation_xyz
'x,y,z'
'-x,-y,-z'
'-x,-y,z'
'x,y,-z'
'x+1/2,-y+1/2,-z+1/2'
'-x+1/2,y+1/2,z+1/2'
'-x+1/2,y+1/2,-z+1/2'
'x+1/2,-y+1/2,z+1/2'
loop_
_atom_site_label
_atom_site_type_symbol
_atom_site_fract_x
_atom_site_fract_y
_atom_site_fract_z
Hg1 Hg 0.0000 0.0000 0.0000
Pb1 Pb 0.0000 0.5000 0.1904
Cl1 Cl 0.1964 0.2886 0.0000
Cl2 Cl 0.2422 0.3240 0.3381
```

***

Compound: HgPb2Cl4
Source: Alexandria via LeMat-Bulk
Functional: PBE-GGA
Structure: relaxed

CIF file:
```
data_HgPb2Cl4
_chemical_formula_sum 'Hg2 Pb4 Cl8'
_cell_length_a 16.7862
_cell_length_b 4.4020
_cell_length_c 7.8143
_cell_angle_alpha 90.00
_cell_angle_beta 113.04
_cell_angle_gamma 90.00
_space_group_name_H-M_alt 'C 1 2/m 1'
_space_group_IT_number 12
loop_
_space_group_symop_operation_xyz
'x,y,z'
'-x,-y,-z'
'-x,y,-z'
'x,-y,z'
'x+1/2,y+1/2,z'
'-x+1/2,-y+1/2,-z'
'-x+1/2,y+1/2,-z'
'x+1/2,-y+1/2,z'
loop_
_atom_site_label
_atom_site_type_symbol
_atom_site_fract_x
_atom_site_fract_y
_atom_site_fract_z
Hg1 Hg 0.0000 0.0000 0.0000
Pb1 Pb 0.2307 0.0000 0.2421
Cl1 Cl 0.1508 0.5000 0.3844
Cl2 Cl 0.1703 0.0000 0.8108
```

***

Compound: HgPbCl5
Source: Alexandria via LeMat-Bulk
Functional: PBE-GGA
Structure: relaxed

CIF file:
```
data_HgPbCl5
_chemical_formula_sum 'Hg4 Pb4 Cl20'
_cell_length_a 11.3811
_cell_length_b 8.7053
_cell_length_c 9.7352
_cell_angle_alpha 90.00
_cell_angle_beta 114.38
_cell_angle_gamma 90.00
_space_group_name_H-M_alt 'C 1 2/c 1'
_space_group_IT_number 15
loop_
_space_group_symop_operation_xyz
'x,y,z'
'-x,-y,-z'
'-x,y,-z+1/2'
'x,-y,z+1/2'
'x+1/2,y+1/2,z'
'-x+1/2,-y+1/2,-z'
'-x+1/2,y+1/2,-z+1/2'
'x+1/2,-y+1/2,z+1/2'
loop_
_atom_site_label
_atom_site_type_symbol
_atom_site_fract_x
_atom_site_fract_y
_atom_site_fract_z
Hg1 Hg 0.0000 0.0000 0.0000
Pb1 Pb 0.0000 0.4759 0.2500
Cl1 Cl 0.0000 0.1122 0.2500
Cl2 Cl 0.0292 0.3110 0.9635
Cl3 Cl 0.2439 0.0628 0.6421
```

***

Compound: HgPbCl2
Source: Alexandria via LeMat-Bulk
Functional: PBE-GGA
Structure: relaxed

CIF file:
```
data_HgPbCl2
_chemical_formula_sum 'Hg4 Pb4 Cl8'
_cell_length_a 8.3957
_cell_length_b 8.3957
_cell_length_c 11.5293
_cell_angle_alpha 90.00
_cell_angle_beta 90.00
_cell_angle_gamma 90.00
_space_group_name_H-M_alt 'I -4 2 d'
_space_group_IT_number 122
_space_group_name_Hall 'I -4 2bw'
loop_
_atom_site_label
_atom_site_type_symbol
_atom_site_fract_x
_atom_site_fract_y
_atom_site_fract_z
Hg1 Hg 0.0000 0.0000 0.0000
Pb1 Pb 0.0000 0.0000 0.5000
Cl1 Cl 0.1320 0.2500 0.6250
```

***

Compound: Hg2Pb2Cl
Source: Alexandria via LeMat-Bulk
Functional: PBE-GGA
Structure: relaxed

CIF file:
```
data_Hg2Pb2Cl
_chemical_formula_sum 'Hg4 Pb4 Cl2'
_cell_length_a 4.2330
_cell_length_b 4.2330
_cell_length_c 16.3587
_cell_angle_alpha 90.00
_cell_angle_beta 90.00
_cell_angle_gamma 90.00
_space_group_name_H-M_alt 'I 4/m m m'
_space_group_IT_number 139
_space_group_name_Hall '-I 4 2'
loop_
_atom_site_label
_atom_site_type_symbol
_atom_site_fract_x
_atom_site_fract_y
_atom_site_fract_z
Hg1 Hg 0.0000 0.5000 0.2500
Pb1 Pb 0.0000 0.0000 0.0992
Cl1 Cl 0.0000 0.0000 0.5000
```

***

Compound: HgPbCl
Source: Alexandria via LeMat-Bulk
Functional: PBE-GGA
Structure: relaxed

CIF file:
```
data_HgPbCl
_chemical_formula_sum 'Hg4 Pb4 Cl4'
_cell_length_a 3.7786
_cell_length_b 6.1568
_cell_length_c 15.0703
_cell_angle_alpha 90.00
_cell_angle_beta 90.00
_cell_angle_gamma 90.00
_space_group_name_H-M_alt 'F m m 2'
_space_group_IT_number 42
_space_group_name_Hall 'F 2 -2'
loop_
_atom_site_label
_atom_site_type_symbol
_atom_site_fract_x
_atom_site_fract_y
_atom_site_fract_z
Hg1 Hg 0.0000 0.0000 0.0000
Pb1 Pb 0.0000 0.0000 0.3132
Cl1 Cl 0.0000 0.0000 0.6707
```

***

Compound: HgPbCl2
Source: Alexandria via LeMat-Bulk
Functional: PBE-GGA
Structure: relaxed

CIF file:
```
data_HgPbCl2
_chemical_formula_sum 'Hg2 Pb2 Cl4'
_cell_length_a 4.1827
_cell_length_b 6.4469
_cell_length_c 9.7318
_cell_angle_alpha 90.00
_cell_angle_beta 90.00
_cell_angle_gamma 90.00
_space_group_name_H-M_alt 'I m m m'
_space_group_IT_number 71
_space_group_name_Hall '-I 2 2'
loop_
_atom_site_label
_atom_site_type_symbol
_atom_site_fract_x
_atom_site_fract_y
_atom_site_fract_z
Hg1 Hg 0.0000 0.0000 0.0000
Pb1 Pb 0.0000 0.0000 0.5000
Cl1 Cl 0.0000 0.5000 0.1995
```

***

Compound: Hg2Pb2Cl7
Source: Alexandria via LeMat-Bulk
Functional: PBE-GGA
Structure: relaxed

CIF file:
```
data_Hg2Pb2Cl7
_chemical_formula_sum 'Hg4 Pb4 Cl14'
_cell_length_a 9.3350
_cell_length_b 11.8069
_cell_length_c 7.4518
_cell_angle_alpha 90.00
_cell_angle_beta 102.57
_cell_angle_gamma 90.00
_space_group_name_H-M_alt 'C 1 2/m 1'
_space_group_IT_number 12
loop_
_space_group_symop_operation_xyz
'x,y,z'
'-x,-y,-z'
'-x,y,-z'
'x,-y,z'
'x+1/2,y+1/2,z'
'-x+1/2,-y+1/2,-z'
'-x+1/2,y+1/2,-z'
'x+1/2,-y+1/2,z'
loop_
_atom_site_label
_atom_site_type_symbol
_atom_site_fract_x
_atom_site_fract_y
_atom_site_fract_z
Hg1 Hg 0.2420 0.0000 0.3951
Pb1 Pb 0.0000 0.3107 0.0000
Cl1 Cl 0.0000 0.0000 0.5000
Cl2 Cl 0.0959 0.5000 0.2318
Cl3 Cl 0.2271 0.3082 0.7780
```

***

Compound: Hg3Pb5Cl16
Source: Alexandria via LeMat-Bulk
Functional: PBE-GGA
Structure: relaxed

CIF file:
```
data_Hg3Pb5Cl16
_chemical_formula_sum 'Hg6 Pb10 Cl32'
_cell_length_a 14.5673
_cell_length_b 8.3365
_cell_length_c 13.1585
_cell_angle_alpha 90.00
_cell_angle_beta 91.75
_cell_angle_gamma 90.00
_space_group_name_H-M_alt 'C 1 m 1'
_space_group_IT_number 8
loop_
_space_group_symop_operation_xyz
'x,y,z'
'x,-y,z'
'x+1/2,y+1/2,z'
'x+1/2,-y+1/2,z'
loop_
_atom_site_label
_atom_site_type_symbol
_atom_site_fract_x
_atom_site_fract_y
_atom_site_fract_z
Hg1 Hg 0.0000 0.0000 0.0000
Hg2 Hg 0.4172 0.2503 0.4957
Pb1 Pb 0.1616 0.0000 0.2723
Pb2 Pb 0.1668 0.5000 0.4998
Pb3 Pb 0.2488 0.2504 0.9987
Pb4 Pb 0.4916 0.0000 0.7628
Cl1 Cl 0.0657 0.2670 0.6243
Cl2 Cl 0.0854 0.2249 0.1240
Cl3 Cl 0.1513 0.0000 0.8827
Cl4 Cl 0.1694 0.5000 0.8692
Cl5 Cl 0.2596 0.2576 0.3825
Cl6 Cl 0.3153 0.0000 0.1355
Cl7 Cl 0.3443 0.5000 0.6058
Cl8 Cl 0.3452 0.0000 0.6115
Cl9 Cl 0.3466 0.5000 0.1136
Cl10 Cl 0.4181 0.2616 0.8880
Cl11 Cl 0.4877 0.0000 0.3865
Cl12 Cl 0.4913 0.5000 0.3905
```

***

Compound: HgPbCl2
Source: Alexandria via LeMat-Bulk
Functional: PBE-GGA
Structure: relaxed

CIF file:
```
data_HgPbCl2
_chemical_formula_sum 'Hg2 Pb2 Cl4'
_cell_length_a 3.8087
_cell_length_b 4.4973
_cell_length_c 17.4744
_cell_angle_alpha 90.00
_cell_angle_beta 90.00
_cell_angle_gamma 90.00
_space_group_name_H-M_alt 'I m m 2'
_space_group_IT_number 44
loop_
_space_group_symop_operation_xyz
'x,y,z'
'-x,-y,z'
'-x,y,z'
'x,-y,z'
'x+1/2,y+1/2,z+1/2'
'-x+1/2,-y+1/2,z+1/2'
'-x+1/2,y+1/2,z+1/2'
'x+1/2,-y+1/2,z+1/2'
loop_
_atom_site_label
_atom_site_type_symbol
_atom_site_fract_x
_atom_site_fract_y
_atom_site_fract_z
Hg1 Hg 0.0000 0.0000 0.0000
Pb1 Pb 0.0000 0.5000 0.7279
Cl1 Cl 0.0000 0.0000 0.3420
Cl2 Cl 0.0000 0.5000 0.1798
```

***

Compound: HgPbCl2
Source: Alexandria via LeMat-Bulk
Functional: PBE-GGA
Structure: relaxed

CIF file:
```
data_HgPbCl2
_chemical_formula_sum 'Hg1 Pb1 Cl2'
_cell_length_a 5.5310
_cell_length_b 4.1703
_cell_length_c 6.6452
_cell_angle_alpha 90.00
_cell_angle_beta 113.08
_cell_angle_gamma 90.00
_space_group_name_H-M_alt 'P 1 2/m 1'
_space_group_IT_number 10
loop_
_space_group_symop_operation_xyz
'x,y,z'
'-x,-y,-z'
'-x,y,-z'
'x,-y,z'
loop_
_atom_site_label
_atom_site_type_symbol
_atom_site_fract_x
_atom_site_fract_y
_atom_site_fract_z
Hg1 Hg 0.0000 0.0000 0.0000
Pb1 Pb 0.5000 0.0000 0.5000
Cl1 Cl 0.3336 0.5000 0.7052
```

***

Compound: HgPbCl2
Source: Alexandria via LeMat-Bulk
Functional: PBE-GGA
Structure: relaxed

CIF file:
```
data_HgPbCl2
_chemical_formula_sum 'Hg1 Pb1 Cl2'
_cell_length_a 3.6744
_cell_length_b 3.6744
_cell_length_c 9.6197
_cell_angle_alpha 90.00
_cell_angle_beta 90.00
_cell_angle_gamma 90.00
_space_group_name_H-M_alt 'P 4/m m m'
_space_group_IT_number 123
_space_group_name_Hall '-P 4 2'
loop_
_atom_site_label
_atom_site_type_symbol
_atom_site_fract_x
_atom_site_fract_y
_atom_site_fract_z
Hg1 Hg 0.0000 0.0000 0.0000
Pb1 Pb 0.0000 0.0000 0.5000
Cl1 Cl 0.5000 0.5000 0.3299
```

***

Compound: HgPbCl2
Source: Alexandria via LeMat-Bulk
Functional: PBE-GGA
Structure: relaxed

CIF file:
```
data_HgPbCl2
_chemical_formula_sum 'Hg4 Pb4 Cl8'
_cell_length_a 7.4446
_cell_length_b 7.4446
_cell_length_c 7.4446
_cell_angle_alpha 90.00
_cell_angle_beta 90.00
_cell_angle_gamma 90.00
_space_group_name_H-M_alt 'F -4 3 m'
_space_group_IT_number 216
_space_group_name_Hall 'F -4 2 3'
loop_
_atom_site_label
_atom_site_type_symbol
_atom_site_fract_x
_atom_site_fract_y
_atom_site_fract_z
Hg1 Hg 0.0000 0.0000 0.0000
Pb1 Pb 0.2500 0.2500 0.2500
Cl1 Cl 0.0000 0.0000 0.5000
Cl2 Cl 0.2500 0.2500 0.7500
```

***

Compound: HgPb3Cl
Source: Alexandria via LeMat-Bulk
Functional: PBE-GGA
Structure: relaxed

CIF file:
```
data_HgPb3Cl
_chemical_formula_sum 'Hg1 Pb3 Cl1'
_cell_length_a 5.5894
_cell_length_b 5.5894
_cell_length_c 5.5894
_cell_angle_alpha 90.00
_cell_angle_beta 90.00
_cell_angle_gamma 90.00
_space_group_name_H-M_alt 'P m -3 m'
_space_group_IT_number 221
_space_group_name_Hall '-P 4 2 3'
loop_
_atom_site_label
_atom_site_type_symbol
_atom_site_fract_x
_atom_site_fract_y
_atom_site_fract_z
Hg1 Hg 0.0000 0.0000 0.0000
Pb1 Pb 0.0000 0.5000 0.5000
Cl1 Cl 0.5000 0.5000 0.5000
```

***

Compound: Hg2PdPbCl
Source: Alexandria via LeMat-Bulk
Functional: PBE-GGA
Structure: relaxed

CIF file:
```
data_Hg2PdPbCl
_chemical_formula_sum 'Hg2 Pd1 Pb1 Cl1'
_cell_length_a 5.2774
_cell_length_b 5.2774
_cell_length_c 5.3549
_cell_angle_alpha 90.00
_cell_angle_beta 90.00
_cell_angle_gamma 90.00
_space_group_name_H-M_alt 'P 4/m m m'
_space_group_IT_number 123
_space_group_name_Hall '-P 4 2'
loop_
_atom_site_label
_atom_site_type_symbol
_atom_site_fract_x
_atom_site_fract_y
_atom_site_fract_z
Hg1 Hg 0.0000 0.5000 0.0000
Pd1 Pd 0.0000 0.0000 0.0000
Pb1 Pb 0.0000 0.0000 0.5000
Cl1 Cl 0.5000 0.5000 0.5000
```

***

Compound: Hg2PtPbCl
Source: Alexandria via LeMat-Bulk
Functional: PBE-GGA
Structure: relaxed

CIF file:
```
data_Hg2PtPbCl
_chemical_formula_sum 'Hg2 Pt1 Pb1 Cl1'
_cell_length_a 5.2992
_cell_length_b 5.2992
_cell_length_c 5.3454
_cell_angle_alpha 90.00
_cell_angle_beta 90.00
_cell_angle_gamma 90.00
_space_group_name_H-M_alt 'P 4/m m m'
_space_group_IT_number 123
_space_group_name_Hall '-P 4 2'
loop_
_atom_site_label
_atom_site_type_symbol
_atom_site_fract_x
_atom_site_fract_y
_atom_site_fract_z
Hg1 Hg 0.0000 0.5000 0.0000
Pt1 Pt 0.0000 0.0000 0.0000
Pb1 Pb 0.0000 0.0000 0.5000
Cl1 Cl 0.5000 0.5000 0.5000
```

***

Compound: Rb3Hg2PbCl9
Source: Alexandria via LeMat-Bulk
Functional: PBE-GGA
Structure: relaxed

CIF file:
```
data_Rb3Hg2PbCl9
_chemical_formula_sum 'Rb3 Hg2 Pb1 Cl9'
_cell_length_a 7.6908
_cell_length_b 7.6908
_cell_length_c 9.5825
_cell_angle_alpha 90.00
_cell_angle_beta 90.00
_cell_angle_gamma 120.00
_space_group_name_H-M_alt 'P -3 m 1'
_space_group_IT_number 164
_space_group_name_Hall '-P 3 2"'
loop_
_atom_site_label
_atom_site_type_symbol
_atom_site_fract_x
_atom_site_fract_y
_atom_site_fract_z
Rb1 Rb 0.0000 0.0000 0.0000
Rb2 Rb 0.3333 0.6667 0.7027
Hg1 Hg 0.3333 0.6667 0.1624
Pb1 Pb 0.0000 0.0000 0.5000
Cl1 Cl 0.0000 0.5000 0.0000
Cl2 Cl 0.1683 0.3366 0.3203
```

***

What are the formation energy from raw total energies values for these records? In order: -0.052 -0.254 -0.314 -0.954 -0.954 -0.619 -0.727 -0.120 -0.360 -0.664 -0.760 -0.916 -0.760 -0.688 -0.717 -0.470 0.260 -0.236 -0.251 -1.244 eV per atom.
What are the E_tot values for these records? In order: -1.1786 -2.2062 -2.2665 -3.0429 -3.1119 -2.5106 -2.6532 -2.0929 -2.3120 -2.5899 -2.6647 -2.9576 -2.6861 -2.6134 -2.6427 -2.3956 -2.3947 -2.5067 -2.6910 -2.8325 eV/atom.
What are the total magnetic moment values for these records? In order: 0.0 0.0 0.0 0.0 0.0 0.0 0.0 0.0 0.0 0.0 0.0 0.0 0.0 0.0 0.0 0.0 0.0 0.0 0.0 0.0 μB/f.u..